! KScBeTl2 (PBE-GGA, relaxed); values from VASP
! * formation energy: 1.60 eV per atom
! * crystal system: tetragonal
&SYSTEM
  ibrav = 0, nat = 5, ntyp = 4
/
ATOMIC_SPECIES
Sc 44.96 Sc.upf
Be 9.01 Be.upf
Tl 204.38 Tl.upf
K 39.10 K.upf
ATOMIC_POSITIONS crystal
Sc 0.000 0.500 0.000
Be 0.500 0.500 0.500
Tl 0.000 0.000 0.500
Tl 0.500 0.000 0.000
K 0.000 0.000 0.000
CELL_PARAMETERS angstrom
-2.905 -0.859 -5.041
3.822 -3.950 -1.529
-3.260 -4.156 2.587

=====

! KZr2ScBe (PBE-GGA, relaxed); values from VASP
! * formation energy: 2.04 eV per atom
! * crystal system: tetragonal
&SYSTEM
  ibrav = 0, nat = 5, ntyp = 4
/
ATOMIC_SPECIES
Sc 44.96 Sc.upf
Be 9.01 Be.upf
K 39.10 K.upf
Zr 91.22 Zr.upf
ATOMIC_POSITIONS crystal
Sc 0.000 0.500 0.000
Be 0.500 0.500 0.500
K 0.000 0.000 0.000
Zr 0.000 0.000 0.500
Zr 0.500 0.000 0.000
CELL_PARAMETERS angstrom
4.909 0.000 0.000
0.000 4.680 0.000
0.000 0.000 4.909

=====

! K3BeSe (PBE-GGA, relaxed); values from VASP
! * energy above the most stable polymorph in this dataset: 0.0 kJ/mol of atoms
! * crystal system: cubic
! * formation energy without anion corrections: 0.07 eV/f.u.
&SYSTEM
  ibrav = 0, nat = 5, ntyp = 3
/
ATOMIC_SPECIES
Be 9.01 Be.upf
K 39.10 K.upf
Se 78.96 Se.upf
ATOMIC_POSITIONS crystal
Be 0.500 0.500 0.500
K 0.000 0.500 0.000
K 0.000 0.000 0.500
K 0.500 0.000 0.000
Se 0.000 0.000 0.000
CELL_PARAMETERS angstrom
6.289 0.000 0.000
0.000 6.289 0.000
0.000 0.000 6.289

=====

! KBeSe4 (PBE-GGA, relaxed); values from VASP
! * crystal system: cubic
! * formation energy without anion corrections: 2.27 eV/f.u.
&SYSTEM
  ibrav = 0, nat = 6, ntyp = 3
/
ATOMIC_SPECIES
K 39.10 K.upf
Be 9.01 Be.upf
Se 78.96 Se.upf
ATOMIC_POSITIONS crystal
K 0.000 0.000 0.000
Be 0.750 0.750 0.750
Se 0.867 0.378 0.378
Se 0.378 0.378 0.867
Se 0.378 0.867 0.378
Se 0.378 0.378 0.378
CELL_PARAMETERS angstrom
0.000 4.144 4.144
4.144 0.000 4.144
4.144 4.144 0.000

=====

! KBe3Se (PBE-GGA, relaxed); values from VASP
! * energy above the most stable polymorph in this dataset: 116.4 kJ/mol of atoms
! * crystal system: cubic
! * formation energy without anion corrections: 11.37 eV/f.u.
&SYSTEM
  ibrav = 0, nat = 5, ntyp = 3
/
ATOMIC_SPECIES
Be 9.01 Be.upf
K 39.10 K.upf
Se 78.96 Se.upf
ATOMIC_POSITIONS crystal
Be 0.000 0.500 0.000
Be 0.000 0.000 0.500
Be 0.500 0.000 0.000
K 0.000 0.000 0.000
Se 0.500 0.500 0.500
CELL_PARAMETERS angstrom
-3.366 2.787 -3.549
1.578 -3.422 -4.184
-4.228 -3.496 1.265

=====

! K2Be2Se3 (PBE-GGA, relaxed); values from VASP
! * crystal system: monoclinic
! * formation energy without anion corrections: -6.42 eV/f.u.
&SYSTEM
  ibrav = 0, nat = 28, ntyp = 3
/
ATOMIC_SPECIES
K 39.10 K.upf
Be 9.01 Be.upf
Se 78.96 Se.upf
ATOMIC_POSITIONS crystal
K 0.867 0.013 0.189
K 0.367 0.189 0.013
K 0.750 0.294 0.706
K 0.750 0.569 0.431
K 0.250 0.431 0.569
K 0.250 0.706 0.294
K 0.633 0.811 0.987
K 0.133 0.987 0.811
Be 0.660 0.349 0.191
Be 0.625 0.074 0.525
Be 0.160 0.191 0.349
Be 0.125 0.525 0.074
Be 0.875 0.475 0.926
Be 0.840 0.809 0.651
Be 0.375 0.926 0.475
Be 0.340 0.651 0.809
Se 0.773 0.243 0.390
Se 0.753 0.540 0.140
Se 0.273 0.390 0.243
Se 0.253 0.140 0.540
Se 0.842 0.265 0.987
Se 0.158 0.735 0.013
Se 0.747 0.860 0.460
Se 0.727 0.610 0.757
Se 0.342 0.987 0.265
Se 0.247 0.460 0.860
Se 0.227 0.757 0.610
Se 0.658 0.013 0.735
CELL_PARAMETERS angstrom
6.180 0.102 2.383
2.985 10.101 1.589
-0.346 0.467 10.636

=====

no.,M_tot (μB/f.u.),ρ (g/cm3),raw total energy (eV per atom)
1,0.75,4.22,-1.579
2,0.00,4.06,-3.614
3,0.87,1.37,-2.087
4,0.00,4.25,-2.748
5,1.00,1.35,-0.879
6,0.00,3.31,-3.789